! BaLiWN3, optimized geometry, DFT PBE; values from VASP
&SYSTEM
  ibrav = 0, nat = 12, ntyp = 4
/
ATOMIC_SPECIES
N 14.01 N.upf
Li 6.94 Li.upf
Ba 137.33 Ba.upf
W 183.84 W.upf
ATOMIC_POSITIONS angstrom
N -5.809 3.766 0.081
N -6.396 0.744 2.543
N -7.633 3.031 5.056
N -8.467 3.444 2.208
N -4.975 3.352 2.929
N -7.046 6.053 2.594
Li -6.553 4.259 1.867
Li -6.888 2.537 3.270
Ba -3.397 1.279 0.760
Ba -10.045 5.517 4.377
W -3.290 3.620 3.659
W -10.151 3.177 1.478
CELL_PARAMETERS angstrom
-4.560 3.822 -1.960
-5.596 -1.506 2.380
-3.285 4.481 4.717
! **E_form (uncorrected)**: -346 meV per atom

=====

! Ba2Li3HoSb4, optimized geometry, DFT PBE; values from VASP
&SYSTEM
  ibrav = 0, nat = 10, ntyp = 4
/
ATOMIC_SPECIES
Ho 164.93 Ho.upf
Li 6.94 Li.upf
Ba 137.33 Ba.upf
Sb 121.76 Sb.upf
ATOMIC_POSITIONS angstrom
Ho 2.467 2.467 5.987
Li 0.000 2.467 1.402
Li 2.467 0.000 10.573
Li 0.000 0.000 5.987
Ba 2.467 0.000 2.642
Ba 0.000 2.467 9.333
Sb 2.467 2.467 0.000
Sb 0.000 0.000 0.000
Sb 0.000 2.467 4.255
Sb 2.467 0.000 7.719
CELL_PARAMETERS angstrom
4.934 0.000 0.000
0.000 4.934 0.000
0.000 0.000 11.975
! **E_form (uncorrected)**: -835 meV per atom

=====

! Mg2AlCd2Ag5, optimized geometry, DFT PBE; values from VASP
&SYSTEM
  ibrav = 0, nat = 20, ntyp = 4
/
ATOMIC_SPECIES
Cd 112.41 Cd.upf
Ag 107.87 Ag.upf
Mg 24.30 Mg.upf
Al 26.98 Al.upf
ATOMIC_POSITIONS angstrom
Cd -3.451 6.744 7.020
Cd -0.110 3.141 1.756
Cd -3.879 2.084 5.012
Cd 0.318 7.801 3.764
Ag -3.295 7.381 4.035
Ag -4.671 1.141 2.158
Ag -6.745 3.109 5.285
Ag 0.108 5.243 -0.523
Ag -4.072 9.539 5.951
Ag -1.685 6.428 1.908
Ag -4.659 4.899 4.114
Ag -3.049 3.946 1.987
Ag 0.402 8.218 0.738
Ag -2.272 1.789 0.072
Mg -1.504 8.416 5.927
Mg 1.044 5.787 1.976
Mg -2.057 1.470 2.849
Mg -4.605 4.098 6.800
Al -1.781 4.943 4.388
Al 0.000 0.000 0.000
CELL_PARAMETERS angstrom
-2.783 1.442 -2.753
-6.560 0.841 7.069
2.998 9.045 1.707
! **Energy relative to the elements**: 0.017 eV per atom

=====

Spin magnetization (μB per atom)
0.16, 0.01, 0.00